Compound: Hg3OF
Source: the Alexandria database
Functional: GGA-PBE
Structure: optimized geometry

Geometry as POSCAR:
```
Hg3OF
1.0
4.823 0.000 0.000
0.000 4.823 0.000
0.000 0.000 4.823
Hg O F
3 1 1
Direct
0.000 0.000 0.500
0.000 0.500 0.000
0.500 0.000 0.000
0.000 0.000 0.000
0.500 0.500 0.500
```

Results
**E_tot**: -1.67 eV/atom
**Raw formation energy**: -0.13 eV per atom
**Energy above the most stable polymorph in this dataset**: 0.367 eV/atom
**Space-group type**: Pm-3m

=====

Compound: HgO2F2
Source: the Alexandria database
Functional: GGA-PBE
Structure: optimized geometry

Geometry as POSCAR:
```
HgO2F2
1.0
3.226 -1.848 0.000
3.226 1.848 0.000
-2.867 0.000 7.657
Hg O F
1 2 2
Direct
0.000 0.000 0.000
0.466 0.466 0.561
0.534 0.534 0.439
0.277 0.277 0.871
0.723 0.723 0.129
```

Results
**E_tot**: -3.60 eV/atom
**Raw formation energy**: -0.81 eV per atom
**Space-group type**: C2/m

=====

Among the records above, which one has the highest E_tot?
Hg3OF